A plane-wave DFT calculation with PBE was carried out for Cs2AlPtBr6 after structural relaxation.

DOS at the Fermi energy: 0.547 states/eV per atom
Total magnetic moment: 0.00 μB/f.u.
Calculated density: 5.03 g cm⁻³
E_tot: -3.15 eV/atom

Cell and atoms, written as POSCAR:
```
Cs2AlPtBr6
1.0
-3.840 3.840 5.416
3.840 -3.840 5.416
3.840 3.840 -5.416
Cs Al Pt Br
2 1 1 6
direct
0.250 0.750 0.500
0.750 0.250 0.500
0.000 0.000 0.000
0.500 0.500 0.000
0.232 0.232 0.464
0.232 0.768 0.000
0.269 0.269 0.000
0.731 0.731 0.000
0.768 0.232 0.000
0.768 0.768 0.536
```